{"formula": "Ni2PbBr", "functional": "PBE", "state": "optimized geometry", "lattice": [[-1.164, 3.752, -4.620], [-5.405, 1.304, 2.420], [-1.276, 6.223, 1.395]], "species": ["Ni", "Ni", "Ni", "Ni", "Br", "Br", "Pb", "Pb"], "frac_coords": [[0.375, 0.412, 0.750], [0.875, 0.838, 0.750], [0.162, 0.625, 0.250], [0.588, 0.125, 0.250], [0.500, 0.500, 0.000], [0.250, 0.750, 0.500], [0.000, 0.000, 0.000], [0.750, 0.250, 0.500]], "formation_energy_uncorrected_mev_per_atom": 360, "magnetic_moment_mub_per_fu": 0.0, "polymorph_energy_ev_per_fu": 1.131, "sg": "No. 122", "total_energy_ev_per_atom": -3.8763, "dos_at_fermi_per_ev_atom": 0.99}